Computed, not measured: an optimized crystal structure of AcZn2Ag at the PBE level of DFT.

Cell: 5.782 7.160 8.964 Å, 90.00 90.00 90.00°
Element x y z (fractional)
Ac: 0.354 0.250 0.059
Ac: 0.854 0.750 0.441
Ac: 0.646 0.750 0.941
Ac: 0.146 0.250 0.559
Zn: 0.876 0.063 0.182
Zn: 0.376 0.937 0.318
Zn: 0.124 0.563 0.818
Zn: 0.624 0.437 0.682
Zn: 0.124 0.937 0.818
Zn: 0.624 0.063 0.682
Zn: 0.876 0.437 0.182
Zn: 0.376 0.563 0.318
Ag: 0.641 0.250 0.399
Ag: 0.141 0.750 0.101
Ag: 0.359 0.750 0.601
Ag: 0.859 0.250 0.899

* calculated volume: 23.19 Å³/atom
* DFT total energy: -41.9 eV for the cell shown
* space group: No. 62
* formation enthalpy at 0 K: -23.1 kJ/mol of atoms

***

Computed, not measured: an optimized crystal structure of RbTmBeS3 at the PBE level of DFT.

Cell: 3.840 9.159 9.250 Å, 110.90 90.00 90.00°
Element x y z (fractional)
Rb: 0.250 0.207 0.238
Rb: 0.750 0.793 0.762
Tm: 0.250 0.667 0.147
Tm: 0.750 0.333 0.853
Be: 0.250 0.076 0.605
Be: 0.750 0.924 0.395
S: 0.750 0.878 0.160
S: 0.250 0.122 0.840
S: 0.250 0.835 0.465
S: 0.750 0.165 0.535
S: 0.750 0.469 0.161
S: 0.250 0.531 0.839

* energy relative to the elements, uncorrected: -1.56 eV/atom
* calculated volume: 25.32 Å³/atom
* DFT total energy: -61.9 eV for the cell shown
* space group: No. 11

***

Computed, not measured: an optimized crystal structure of VFe2SnC at the PBE level of DFT.

Cell: 3.922 3.922 4.050 Å, 90.00 90.00 90.00°
Site moments in Bohr magnetons follow the coordinates.
Element x y z (fractional)
C: 0.000 0.000 0.000  -0.05
V: 0.000 0.000 0.500  0.38
Sn: 0.500 0.500 0.500  -0.06
Fe: 0.000 0.500 0.000  1.90
Fe: 0.500 0.000 0.000  1.90

* calculated volume: 12.46 Å³/atom
* DFT total energy: -39.5 eV for the cell shown
* space group: No. 123
* formation enthalpy at 0 K: -3.9 kJ/mol of atoms

***

Computed, not measured: an optimized crystal structure of RbLaCd2 at the PBE level of DFT.

Cell: 9.108 9.108 7.487 Å, 52.54 52.54 90.00°
Element x y z (fractional)
Cd: 0.650 0.125 0.250
Cd: 0.100 0.625 0.250
Cd: 0.375 0.350 0.750
Cd: 0.875 0.900 0.750
Rb: 0.500 0.500 0.000
Rb: 0.250 0.750 0.500
La: 0.000 0.000 0.000
La: 0.750 0.250 0.500

* excess energy over the best structure of this formula in the dataset: 0.370 eV per atom
* calculated volume: 39.59 Å³/atom
* DFT total energy: -13.4 eV for the cell shown
* space group: No. 122
* formation enthalpy at 0 K: 24.9 kJ/mol of atoms

***

Computed, not measured: an optimized crystal structure of RbNbTeIr at the PBE level of DFT.

Cell: 3.631 3.205 17.795 Å, 90.00 90.00 90.00°
Element x y z (fractional)
Rb: 0.500 0.000 0.593
Rb: 0.500 0.500 0.093
Nb: 0.500 0.000 0.809
Nb: 0.500 0.500 0.309
Te: 0.000 0.000 0.935
Te: 0.000 0.500 0.435
Ir: 0.000 0.000 0.248
Ir: 0.000 0.500 0.748

* energy relative to the elements, uncorrected: -0.08 eV/atom
* excess energy over the best structure of this formula in the dataset: 0.025 eV per atom
* calculated volume: 25.89 Å³/atom
* DFT total energy: -46.7 eV for the cell shown
* space group: No. 38

***

Computed, not measured: an optimized crystal structure of Ac2La3Th at the PBE level of DFT.

Cell: 3.757 3.757 16.356 Å, 90.00 90.00 90.00°
Element x y z (fractional)
Ac: 0.500 0.500 0.830
Ac: 0.500 0.500 0.170
La: 0.000 0.000 0.000
La: 0.000 0.000 0.647
La: 0.000 0.000 0.353
Th: 0.500 0.500 0.500

* calculated volume: 38.47 Å³/atom
* DFT total energy: -30.2 eV for the cell shown
* space group: No. 123
* formation enthalpy at 0 K: 2.9 kJ/mol of atoms

***

Computed, not measured: an optimized crystal structure of Sm5Er6Tm2 at the PBE level of DFT.

Cell: 3.561 11.555 20.342 Å, 90.00 90.00 90.00°
Element x y z (fractional)
Sm: 0.500 0.302 0.449
Sm: 0.500 0.698 0.551
Sm: 0.500 0.802 0.051
Sm: 0.500 0.198 0.949
Sm: 0.500 0.585 0.272
Sm: 0.500 0.415 0.728
Sm: 0.500 0.085 0.228
Sm: 0.500 0.915 0.772
Sm: 0.500 0.500 0.000
Sm: 0.500 0.000 0.500
Er: 0.000 0.082 0.369
Er: 0.000 0.918 0.631
Er: 0.000 0.582 0.131
Er: 0.000 0.418 0.869
Er: 0.500 0.326 0.139
Er: 0.500 0.674 0.861
Er: 0.500 0.826 0.361
Er: 0.500 0.174 0.639
Er: 0.000 0.561 0.418
Er: 0.000 0.439 0.582
Er: 0.000 0.061 0.082
Er: 0.000 0.939 0.918
Tm: 0.000 0.330 0.291
Tm: 0.000 0.670 0.709
Tm: 0.000 0.830 0.209
Tm: 0.000 0.170 0.791

* calculated volume: 32.19 Å³/atom
* DFT total energy: -117.3 eV for the cell shown
* space group: No. 55
* formation enthalpy at 0 K: 9.4 kJ/mol of atoms

***

Computed, not measured: an optimized crystal structure of ErFe2Si2 at the PBE level of DFT.

Cell: 5.495 5.495 5.495 Å, 137.99 137.99 60.92°
Element x y z (fractional)
Er: 0.000 0.000 0.000
Fe: 0.750 0.250 0.500
Fe: 0.250 0.750 0.500
Si: 0.633 0.633 0.000
Si: 0.367 0.367 0.000

* energy relative to the elements, uncorrected: -0.68 eV/atom
* calculated volume: 14.70 Å³/atom
* DFT total energy: -35.7 eV for the cell shown
* space group: No. 139

***

- The highest calculated volume belongs to which entry?
  RbLaCd2

***

Please write out number 2 again, unchanged.
Computed, not measured: an optimized crystal structure of RbTmBeS3 at the PBE level of DFT.

Cell: 3.840 9.159 9.250 Å, 110.90 90.00 90.00°
Element x y z (fractional)
Rb: 0.250 0.207 0.238
Rb: 0.750 0.793 0.762
Tm: 0.250 0.667 0.147
Tm: 0.750 0.333 0.853
Be: 0.250 0.076 0.605
Be: 0.750 0.924 0.395
S: 0.750 0.878 0.160
S: 0.250 0.122 0.840
S: 0.250 0.835 0.465
S: 0.750 0.165 0.535
S: 0.750 0.469 0.161
S: 0.250 0.531 0.839

* energy relative to the elements, uncorrected: -1.56 eV/atom
* calculated volume: 25.32 Å³/atom
* DFT total energy: -61.9 eV for the cell shown
* space group: No. 11